[1]
Entry from Alexandria: a crystal of Sr2CuCl relaxed with PBEsol (meta-GGA SCAN).

```
4
Lattice="4.349 0.000 0.000 0.000 4.349 0.000 0.000 0.000 6.136" Properties=species:S:1:pos:R:3 pbc="T T T"
Cu 2.174 2.174 5.369
Cl 0.000 0.000 2.301
Sr 2.174 2.174 2.301
Sr 0.000 0.000 5.369
```

Output
* raw formation energy: -911 meV/atom
* space group: P4/mmm, No. 123

[2]
Entry from Alexandria: a crystal of SrCu2Cl relaxed with PBEsol (meta-GGA SCAN).

```
4
Lattice="4.160 0.000 0.000 0.000 4.160 0.000 0.000 0.000 5.292" Properties=species:S:1:pos:R:3 pbc="T T T"
Cl 2.080 2.080 2.646
Cu 0.000 0.000 1.305
Cu 0.000 0.000 3.987
Sr 2.080 2.080 0.000
```

Output
* raw formation energy: -189 meV/atom
* space group: P4/mmm, No. 123

[3]
Entry from Alexandria: a crystal of TaCuCl2 relaxed with PBEsol (meta-GGA SCAN).

```
4
Lattice="2.920 0.000 0.000 0.000 4.130 0.000 0.000 0.000 5.284" Properties=species:S:1:pos:R:3 pbc="T T T"
Cl 1.460 0.000 2.642
Cl 0.000 0.000 0.000
Ta 0.000 2.065 2.642
Cu 1.460 2.065 0.000
```

Output
* raw formation energy: 333 meV/atom
* space group: Pmmm, No. 47
* excess energy over the best structure of this formula in the dataset: 532 meV per atom

[4]
Entry from Alexandria: a crystal of TaCuCl2 relaxed with PBEsol (meta-GGA SCAN).

```
4
Lattice="-1.543 0.529 -2.525 0.683 -1.491 -2.519 -6.543 -7.207 0.698" Properties=species:S:1:pos:R:3 pbc="T T T"
Cu -3.701 -4.084 -2.173
Ta 0.000 0.000 0.000
Cl -5.937 -6.550 -3.113
Cl -1.465 -1.618 -1.233
```

Output
* raw formation energy: -199 meV/atom
* space group: R-3m, No. 166
* excess energy over the best structure of this formula in the dataset: 0 meV per atom

[5]
Entry from Alexandria: a crystal of TaCuCl2 relaxed with PBEsol (meta-GGA SCAN).

```
4
Lattice="-1.672 -0.659 2.257 -0.675 -1.350 -2.739 5.764 -7.251 2.154" Properties=species:S:1:pos:R:3 pbc="T T T"
Cl 1.210 -1.522 0.452
Cl 4.554 -5.729 1.702
Ta -0.836 -0.329 1.129
Cu 2.046 -3.955 2.206
```

Output
* raw formation energy: -1 meV/atom
* space group: Cmmm, No. 65
* excess energy over the best structure of this formula in the dataset: 198 meV per atom

[6]
Entry from Alexandria: a crystal of TaCuCl2 relaxed with PBEsol (meta-GGA SCAN).

```
4
Lattice="-0.847 3.186 1.181 -2.309 -1.432 2.209 5.203 -1.232 1.864" Properties=species:S:1:pos:R:3 pbc="T T T"
Cl 1.389 1.415 2.370
Cl 0.000 0.000 0.000
Ta 0.658 -0.894 2.884
Cu -1.578 0.877 1.695
```

Output
* raw formation energy: 578 meV/atom
* space group: I-4m2, No. 119
* excess energy over the best structure of this formula in the dataset: 777 meV per atom

[7]
Entry from Alexandria: a crystal of YTaCu2Cl relaxed with PBEsol (meta-GGA SCAN).

```
5
Lattice="-0.048 -2.695 3.775 3.531 -2.469 -1.718 3.684 3.498 2.544" Properties=species:S:1:pos:R:3 pbc="T T T"
Cl 3.583 -0.833 2.301
Ta 0.000 0.000 0.000
Y 1.842 1.749 1.272
Cu -0.024 -1.347 1.888
Cu 1.766 -1.235 -0.859
```

Output
* raw formation energy: 822 meV/atom
* space group: P4/mmm, No. 123

[8]
Entry from Alexandria: a crystal of Cu2TcCl relaxed with PBEsol (meta-GGA SCAN).

```
4
Lattice="4.208 0.000 0.000 2.104 3.644 0.000 2.104 1.215 3.436" Properties=species:S:1:pos:R:3 pbc="T T T"
Cl 4.208 2.429 1.718
Tc 2.104 1.215 0.859
Cu 6.312 3.644 2.577
Cu 0.000 0.000 0.000
```

Output
* raw formation energy: 850 meV/atom
* space group: F-43m, No. 216
* excess energy over the best structure of this formula in the dataset: 209 meV per atom

[9]
Entry from Alexandria: a crystal of Cu2TcCl relaxed with PBEsol (meta-GGA SCAN).

```
4
Lattice="-0.985 0.480 -2.450 -3.917 -0.871 1.403 0.705 4.776 0.652" Properties=species:S:1:pos:R:3 pbc="T T T"
Tc -0.140 2.628 -0.899
Cu 0.000 0.000 0.000
Cu -2.451 -0.196 -0.524
Cl -1.606 1.952 1.028
```

Output
* raw formation energy: 642 meV/atom
* space group: P2/m, No. 10
* excess energy over the best structure of this formula in the dataset: 0 meV per atom

[10]
Entry from Alexandria: a crystal of Cu2TcCl relaxed with PBEsol (meta-GGA SCAN).

```
4
Lattice="-2.780 2.132 -0.487 -1.713 -1.632 2.630 1.640 2.775 2.791" Properties=species:S:1:pos:R:3 pbc="T T T"
Tc -1.427 1.638 2.467
Cu -0.856 -0.816 1.315
Cu -1.390 1.066 -0.244
Cl 0.820 1.388 1.395
```

Output
* raw formation energy: 822 meV/atom
* space group: P4/mmm, No. 123
* excess energy over the best structure of this formula in the dataset: 180 meV per atom

[11]
Entry from Alexandria: a crystal of CuTc3Cl relaxed with PBEsol (meta-GGA SCAN).

```
5
Lattice="-2.279 3.880 -0.335 -2.985 -1.491 3.038 2.502 1.756 3.319" Properties=species:S:1:pos:R:3 pbc="T T T"
Cu 0.000 0.000 0.000
Tc 1.251 0.878 1.660
Tc -1.492 -0.745 1.519
Tc -1.139 1.940 -0.168
Cl -1.381 2.073 3.011
```

Output
* raw formation energy: 1991 meV/atom
* space group: Pm-3m, No. 221

[12]
Entry from Alexandria: a crystal of CuTcCl relaxed with PBEsol (meta-GGA SCAN).

```
3
Lattice="-0.877 -3.531 2.151 1.791 -3.659 -1.125 2.946 -1.758 2.469" Properties=species:S:1:pos:R:3 pbc="T T T"
Cl 1.930 -4.474 1.748
Tc 0.000 0.000 0.000
Cu 0.965 -2.237 0.874
```

Output
* raw formation energy: 1176 meV/atom
* space group: F-43m, No. 216

[13]
Entry from Alexandria: a crystal of CuTeCl2 relaxed with PBEsol (meta-GGA SCAN).

```
4
Lattice="3.152 0.000 0.000 1.576 5.401 0.230 1.576 0.879 5.334" Properties=species:S:1:pos:R:3 pbc="T T T"
Cl 3.152 5.051 4.475
Cl 3.152 1.229 1.089
Te 1.576 3.140 2.782
Cu 1.576 0.000 0.000
```

Output
* raw formation energy: -138 meV/atom
* space group: Immm, No. 71
* excess energy over the best structure of this formula in the dataset: 103 meV per atom

[14]
Entry from Alexandria: a crystal of CuTe2Cl relaxed with PBEsol (meta-GGA SCAN).

```
16
Lattice="-2.550 -3.026 2.925 5.662 -5.723 -0.986 3.420 5.530 8.705" Properties=species:S:1:pos:R:3 pbc="T T T"
Cu 1.061 -3.641 4.292
Cu 6.171 -3.061 7.498
Cu 0.360 -0.158 3.146
Cu 5.471 0.422 6.352
Cl 6.469 -0.837 8.006
Cl 0.062 -2.382 2.637
Cl 2.644 0.109 3.326
Cl 3.887 -3.328 7.318
Te 3.453 -0.149 9.379
Te 3.507 -3.120 4.075
Te 1.177 1.071 10.308
Te 4.766 -5.547 4.313
Te 3.079 -3.070 1.265
Te 3.024 -0.099 6.568
Te 5.355 -4.290 0.335
Te 1.765 2.328 6.331
```

Output
* raw formation energy: -316 meV/atom
* space group: P2_1/c, No. 14

[15]
Entry from Alexandria: a crystal of CuTeCl2 relaxed with PBEsol (meta-GGA SCAN).

```
4
Lattice="-2.245 -1.561 2.288 0.930 -0.398 3.419 -3.612 6.372 3.583" Properties=species:S:1:pos:R:3 pbc="T T T"
Cl -1.423 -1.718 5.765
Cl -3.418 2.697 6.821
Cu -2.494 2.276 4.662
Te -1.368 1.405 2.395
```

Output
* raw formation energy: -241 meV/atom
* space group: R3m, No. 160
* excess energy over the best structure of this formula in the dataset: 0 meV per atom

[16]
Entry from Alexandria: a crystal of CuTeCl2 relaxed with PBEsol (meta-GGA SCAN).

```
4
Lattice="4.194 0.000 0.000 0.000 4.435 -0.029 0.000 -0.277 4.427" Properties=species:S:1:pos:R:3 pbc="T T T"
Te 2.097 0.000 0.000
Cl 0.000 0.994 3.225
Cl 0.000 3.164 1.173
Cu 2.097 2.079 2.199
```

Output
* raw formation energy: 24 meV/atom
* space group: Cmmm, No. 65
* excess energy over the best structure of this formula in the dataset: 264 meV per atom

[17]
Entry from Alexandria: a crystal of CuTe2Cl relaxed with PBEsol (meta-GGA SCAN).

```
4
Lattice="3.890 0.000 0.000 0.000 4.582 -0.007 0.000 -2.152 5.408" Properties=species:S:1:pos:R:3 pbc="T T T"
Cl 1.945 1.215 2.701
Cu 1.945 2.291 -0.004
Te 0.000 -1.177 4.431
Te 0.000 3.608 0.970
```

Output
* raw formation energy: -241 meV/atom
* space group: P2/m, No. 10

[18]
Entry from Alexandria: a crystal of TlCu2Cl relaxed with PBEsol (meta-GGA SCAN).

```
4
Lattice="-1.378 0.225 -2.976 3.775 -1.110 -1.832 -0.842 -5.766 1.769" Properties=species:S:1:pos:R:3 pbc="T T T"
Cu 1.594 -6.503 -3.046
Cu 2.750 -4.888 -1.644
Cl -1.298 -2.144 -1.377
Tl 0.419 -5.977 -0.646
```

Output
* raw formation energy: -14 meV/atom
* space group: Amm2, No. 38
* excess energy over the best structure of this formula in the dataset: 0 meV per atom

[19]
Entry from Alexandria: a crystal of TlCuCl2 relaxed with PBEsol (meta-GGA SCAN).

```
8
Lattice="6.184 0.110 -0.185 -2.095 5.820 0.185 2.095 2.930 5.032" Properties=species:S:1:pos:R:3 pbc="T T T"
Cl 6.327 2.200 2.212
Cl 3.997 4.622 3.122
Cl 0.905 5.938 4.032
Cl 1.140 4.961 0.698
Tl 0.000 0.000 0.000
Tl 3.092 2.243 1.212
Cu 0.000 4.375 2.608
Cu 3.092 6.618 3.820
```

Output
* raw formation energy: -777 meV/atom
* space group: I-42d, No. 122
* excess energy over the best structure of this formula in the dataset: 0 meV per atom

[20]
Entry from Alexandria: a crystal of TlCu2Cl relaxed with PBEsol (meta-GGA SCAN).

```
4
Lattice="-2.701 1.704 -0.397 -3.743 -2.389 2.176 -0.145 3.811 4.294" Properties=species:S:1:pos:R:3 pbc="T T T"
Cl -1.944 0.711 3.235
Cu -3.609 0.684 1.409
Cu -2.980 2.441 4.663
Tl -1.350 0.852 -0.199
```

Output
* raw formation energy: -4 meV/atom
* space group: C2/m, No. 12
* excess energy over the best structure of this formula in the dataset: 11 meV per atom